Record 1
{
  "formula": "AlRuPb2",
  "functional": "GGA-PBE",
  "state": "relaxed",
  "cell": [[-3.014, -0.987, -1.660], [2.154, -4.141, -1.449], [-1.521, -2.219, 4.081]],
  "species": ["Pb", "Pb", "Ru", "Al"],
  "frac_coords": [[0.000, 0.000, 0.000], [0.000, 0.500, 0.500], [0.500, 0.500, 0.000], [0.500, 0.000, 0.500]],
  "total_energy_ev_per_atom": -4.56,
  "dos_at_fermi_per_ev_atom": 1.012,
  "ef_mev_per_atom": 546,
  "total_magnetization_mub_per_fu": 0.00
}


Record 2
{
  "formula": "BeCdPt3",
  "functional": "GGA-PBE",
  "state": "relaxed",
  "cell": [[4.916, 0.000, 0.000], [0.000, 4.916, 0.000], [0.000, 0.000, 4.916]],
  "species": ["Be", "Pt", "Pt", "Pt", "Cd"],
  "frac_coords": [[0.500, 0.500, 0.500], [0.000, 0.500, 0.000], [0.000, 0.000, 0.500], [0.500, 0.000, 0.000], [0.000, 0.000, 0.000]],
  "total_energy_ev_per_atom": -2.94,
  "dos_at_fermi_per_ev_atom": 0.235,
  "ef_mev_per_atom": 1616,
  "total_magnetization_mub_per_fu": 0.00,
  "e_above_lowest_polymorph_ev_per_atom": 2.054
}


Record 3
{
  "formula": "Sm9Y2Sc",
  "functional": "GGA-PBE",
  "state": "relaxed",
  "cell": [[-0.596, -4.867, 1.304], [3.127, -1.387, -3.747], [11.852, 1.090, 9.487]],
  "species": ["Sm", "Sm", "Sm", "Sm", "Sm", "Sm", "Sm", "Sm", "Sm", "Y", "Y", "Sc"],
  "frac_coords": [[0.500, 0.500, 0.000], [0.500, 0.500, 0.331], [0.500, 0.500, 0.669], [0.500, 0.000, 0.162], [0.500, 0.000, 0.500], [0.500, 0.000, 0.838], [0.000, 0.500, 0.162], [0.000, 0.500, 0.500], [0.000, 0.500, 0.838], [0.000, 0.000, 0.331], [0.000, 0.000, 0.669], [0.000, 0.000, 0.000]],
  "total_energy_ev_per_atom": -5.12,
  "dos_at_fermi_per_ev_atom": 1.570,
  "ef_mev_per_atom": 26,
  "total_magnetization_mub_per_fu": 0.00
}


Record 4
{
  "formula": "Y5Ho2Er",
  "functional": "GGA-PBE",
  "state": "relaxed",
  "cell": [[5.514, 0.000, 0.000], [-2.757, 5.963, 0.000], [0.000, 0.000, 15.790]],
  "species": ["Y", "Y", "Y", "Y", "Y", "Y", "Y", "Y", "Y", "Y", "Ho", "Ho", "Ho", "Ho", "Er", "Er"],
  "frac_coords": [[0.922, 0.844, 0.906], [0.922, 0.844, 0.594], [0.380, 0.761, 0.452], [0.380, 0.761, 0.048], [0.542, 0.084, 0.250], [0.458, 0.916, 0.750], [0.620, 0.239, 0.548], [0.620, 0.239, 0.952], [0.078, 0.156, 0.094], [0.078, 0.156, 0.406], [0.780, 0.560, 0.368], [0.780, 0.560, 0.132], [0.220, 0.440, 0.632], [0.220, 0.440, 0.868], [0.732, 0.463, 0.750], [0.268, 0.537, 0.250]],
  "total_energy_ev_per_atom": -5.62,
  "dos_at_fermi_per_ev_atom": 1.829,
  "ef_mev_per_atom": 137,
  "total_magnetization_mub_per_fu": 0.00
}


Record 5
{
  "formula": "Ac3Cd7Ag4",
  "functional": "GGA-PBE",
  "state": "relaxed",
  "cell": [[4.719, 0.000, 1.190], [1.684, 8.329, 3.270], [0.158, 0.411, 9.319]],
  "species": ["Ac", "Ac", "Ac", "Cd", "Cd", "Cd", "Cd", "Cd", "Cd", "Cd", "Ag", "Ag", "Ag", "Ag"],
  "frac_coords": [[0.299, 0.202, 0.201], [0.701, 0.798, 0.799], [0.000, 0.500, 0.500], [0.330, 0.820, 0.520], [0.499, 0.197, 0.804], [0.859, 0.361, 0.922], [0.670, 0.180, 0.480], [0.141, 0.639, 0.078], [0.000, 0.000, 0.000], [0.501, 0.803, 0.196], [0.661, 0.471, 0.208], [0.339, 0.529, 0.792], [0.871, 0.915, 0.342], [0.129, 0.085, 0.658]],
  "total_energy_ev_per_atom": -2.43,
  "dos_at_fermi_per_ev_atom": 0.513,
  "ef_mev_per_atom": -280,
  "total_magnetization_mub_per_fu": 0.00
}


Record 6
{
  "formula": "MnBeRe2Hg",
  "functional": "GGA-PBE",
  "state": "relaxed",
  "cell": [[4.200, 0.000, 0.000], [0.000, 4.259, 0.000], [0.000, 0.000, 4.200]],
  "species": ["Re", "Re", "Mn", "Hg", "Be"],
  "frac_coords": [[0.000, 0.000, 0.500], [0.500, 0.000, 0.000], [0.500, 0.500, 0.500], [0.000, 0.500, 0.000], [0.000, 0.000, 0.000]],
  "total_energy_ev_per_atom": -6.31,
  "dos_at_fermi_per_ev_atom": 1.615,
  "ef_mev_per_atom": 1312,
  "total_magnetization_mub_per_fu": 0.22
}